Record 1
The following is a DFT calculation (PBE) of crystalline BaCoRe at its relaxed geometry.

extended XYZ file:
```
12
Lattice="6.499 0.000 0.000 0.000 6.499 0.000 0.000 0.000 6.499" Properties=species:S:1:pos:R:3 pbc="T T T"
Ba 0.000 0.000 0.000
Ba 0.000 3.250 3.250
Ba 3.250 0.000 3.250
Ba 3.250 3.250 0.000
Co 1.625 1.625 1.625
Co 1.625 4.875 4.875
Co 4.875 1.625 4.875
Co 4.875 4.875 1.625
Re 0.000 0.000 3.250
Re 0.000 3.250 0.000
Re 3.250 0.000 0.000
Re 3.250 3.250 3.250
```

Space-group type: F-43m, No. 216



Record 2
The following is a DFT calculation (PBE) of crystalline Ba2CoS3 at its relaxed geometry.

extended XYZ file:
```
24
Lattice="12.097 0.000 0.000 0.000 4.205 0.000 0.000 0.000 12.414" Properties=species:S:1:pos:R:3 pbc="T T T"
Ba 0.148 1.051 2.159
Ba 2.094 1.051 6.486
Ba 3.955 3.154 0.279
Ba 5.901 3.154 8.366
Ba 6.196 1.051 4.048
Ba 8.142 1.051 12.135
Ba 10.003 3.154 5.928
Ba 11.949 3.154 10.255
Co 2.972 3.154 3.757
Co 3.077 1.051 9.964
Co 9.021 3.154 2.450
Co 9.125 1.051 8.656
S 0.790 3.154 4.463
S 1.676 1.051 11.745
S 2.746 3.154 8.928
S 3.302 1.051 2.721
S 4.372 3.154 5.538
S 5.259 1.051 10.670
S 6.838 3.154 1.744
S 7.725 1.051 6.875
S 8.795 3.154 9.692
S 9.351 1.051 3.485
S 10.421 3.154 0.669
S 11.307 1.051 7.951
```

Space-group type: Pnma, No. 62



Record 3
The following is a DFT calculation (PBE) of crystalline BaSrCoS3 at its relaxed geometry.

extended XYZ file:
```
24
Lattice="8.505 0.000 0.000 0.000 4.099 0.000 0.000 0.000 16.941" Properties=species:S:1:pos:R:3 pbc="T T T"
Ba 2.097 1.025 0.743
Ba 2.156 3.075 9.214
Ba 6.349 1.025 7.727
Ba 6.409 3.075 16.197
Sr 0.718 1.025 13.259
Sr 3.534 3.075 4.788
Sr 4.971 1.025 12.153
Sr 7.787 3.075 3.682
Co 1.107 1.025 6.152
Co 3.146 3.075 14.623
Co 5.360 1.025 2.318
Co 7.398 3.075 10.789
S 0.102 3.075 6.661
S 1.089 3.075 15.583
S 1.501 1.025 3.904
S 2.752 3.075 12.374
S 3.164 1.025 7.113
S 4.151 1.025 15.132
S 4.354 3.075 1.809
S 5.341 3.075 9.828
S 5.753 1.025 4.567
S 7.005 3.075 13.037
S 7.417 1.025 1.358
S 8.404 1.025 10.280
```

Space-group type: Pnma, No. 62



Record 4
The following is a DFT calculation (PBE) of crystalline BaZnCoS3 at its relaxed geometry.

extended XYZ file:
```
12
Lattice="1.964 -6.806 0.000 1.964 6.806 0.000 0.000 0.000 9.258" Properties=species:S:1:pos:R:3 pbc="T T T"
Ba 1.964 3.446 6.944
Ba 1.964 -3.446 2.315
Zn 1.964 0.408 2.315
Zn 1.964 -0.408 6.944
Co 0.000 0.000 0.000
Co 0.000 0.000 4.629
S 1.964 5.947 2.315
S 1.964 1.658 0.391
S 1.964 1.658 4.238
S 1.964 -1.658 5.021
S 1.964 -1.658 8.867
S 1.964 -5.947 6.944
```

Space-group type: Cmcm, No. 63



Record 5
The following is a DFT calculation (PBE) of crystalline BaZnCoS3 at its relaxed geometry.

extended XYZ file:
```
12
Lattice="1.949 -6.708 0.000 1.949 6.708 0.000 0.000 0.000 9.709" Properties=species:S:1:pos:R:3 pbc="T T T"
Ba 1.949 3.414 7.282
Ba 1.949 -3.414 2.427
Zn 1.949 0.000 0.000
Zn 1.949 0.000 4.855
Co 1.949 6.295 2.427
Co 1.949 -6.295 7.282
S 1.949 5.040 0.542
S 1.949 5.040 4.313
S 1.949 0.787 2.427
S 1.949 -0.787 7.282
S 1.949 -5.040 5.396
S 1.949 -5.040 9.168
```

Space-group type: Cmcm, No. 63



Record 6
The following is a DFT calculation (PBE) of crystalline BaSrCoSe3 at its relaxed geometry.

extended XYZ file:
```
24
Lattice="8.886 0.000 0.000 0.000 4.288 0.000 0.000 0.000 17.647" Properties=species:S:1:pos:R:3 pbc="T T T"
Ba 2.208 1.072 0.744
Ba 2.235 3.216 9.568
Ba 6.652 1.072 8.079
Ba 6.678 3.216 16.903
Sr 0.751 1.072 13.811
Sr 3.692 3.216 4.988
Sr 5.194 1.072 12.659
Sr 8.135 3.216 3.836
Co 1.159 1.072 6.401
Co 3.284 3.216 15.224
Co 5.602 1.072 2.423
Co 7.727 3.216 11.246
Se 0.061 3.216 6.954
Se 1.106 3.216 16.240
Se 1.582 1.072 4.034
Se 2.861 3.216 12.857
Se 3.337 1.072 7.416
Se 4.382 1.072 15.778
Se 4.505 3.216 1.870
Se 5.549 3.216 10.231
Se 6.025 1.072 4.790
Se 7.304 3.216 13.614
Se 7.781 1.072 1.407
Se 8.825 1.072 10.693
```

Space-group type: Pnma, No. 62



Record 7
The following is a DFT calculation (PBE) of crystalline Ba2CoTcSe6 at its relaxed geometry.

extended XYZ file:
```
10
Lattice="6.398 0.000 0.000 -0.006 6.412 0.000 -3.059 -3.148 6.442" Properties=species:S:1:pos:R:3 pbc="T T T"
Ba 0.000 0.000 0.000
Ba 0.090 0.028 6.436
Co 0.042 3.221 3.211
Tc 3.244 0.014 3.216
Se -0.832 -1.013 3.217
Se 0.923 1.042 3.218
Se 3.199 -0.036 0.582
Se 2.213 4.099 3.331
Se 4.269 2.342 3.104
Se 3.289 0.064 5.852
```

Space-group type: P1, No. 1



Record 8
The following is a DFT calculation (PBE) of crystalline Ba2Co3Si7 at its relaxed geometry.

extended XYZ file:
```
12
Lattice="8.996 0.000 0.000 -4.498 7.791 0.000 0.000 0.000 3.697" Properties=species:S:1:pos:R:3 pbc="T T T"
Ba 0.000 5.194 0.000
Ba 4.498 2.597 0.000
Co -0.744 1.289 1.848
Co 1.488 0.000 1.848
Co 3.754 6.502 1.848
Si 0.000 0.000 0.000
Si -2.695 4.668 1.848
Si -3.379 5.852 0.000
Si 1.119 1.939 0.000
Si 1.803 3.123 1.848
Si 5.390 0.000 1.848
Si 6.757 0.000 0.000
```

Space-group type: P-62m, No. 189



Final energy list, top to bottom, in eV per atom: -5.55 -5.32 -5.28 -4.60 -4.63 -4.86 -5.04 -5.07